*A*
First-principles (PBE) data for RbNa2Eu after structural relaxation, as listed in Alexandria. Values from VASP.

Quantum ESPRESSO input file:
```
&SYSTEM
  ibrav = 0, nat = 4, ntyp = 3
/
ATOMIC_SPECIES
Rb 85.47 Rb.upf
Na 22.99 Na.upf
Eu 151.96 Eu.upf
CELL_PARAMETERS angstrom
4.0312 0.0000 0.0000
2.0156 3.4911 0.0000
2.0156 1.1637 14.6807
ATOMIC_POSITIONS crystal
Rb 0.5000 0.5000 0.5000
Na 0.9169 0.9169 0.2494
Na 0.0831 0.0831 0.7506
Eu 0.0000 0.0000 0.0000
```

***

*B*
First-principles (PBE) data for RbNa2Eu after structural relaxation, as listed in Alexandria. Values from VASP.

Quantum ESPRESSO input file:
```
&SYSTEM
  ibrav = 0, nat = 4, ntyp = 3
/
ATOMIC_SPECIES
Eu 151.96 Eu.upf
Rb 85.47 Rb.upf
Na 22.99 Na.upf
CELL_PARAMETERS angstrom
6.6096 0.0000 0.0000
3.3048 5.7241 0.0000
3.3048 1.9080 5.3967
ATOMIC_POSITIONS crystal
Eu 0.5000 0.5000 0.5000
Rb 0.0000 0.0000 0.0000
Na 0.7500 0.7500 0.7500
Na 0.2500 0.2500 0.2500
```

***

Relative to the most stable structure, the computed energies are *A* 0.057; *B* 0.000, all in eV/atom.